(1)
Below is a geometry-optimized Zr9Pt11 structure, with properties calculated at the PBE level.

crystal system = triclinic
electronic total energy = -8.183 eV per atom
D(E_F) = 12.3 states/eV per cell
calculated volume = 18.83 Å³/atom

Unit cell a=8.0229 b=8.0210 c=8.2960 alpha=101.29 beta=99.18 gamma=129.17
Element x y z (fractional)
Pt: 0.5000 0.5000 0.0000
Pt: 0.7147 0.2148 0.4989
Pt: 0.2853 0.7852 0.5011
Pt: 0.5666 0.6747 0.6578
Pt: 0.0168 0.9083 0.3424
Pt: 0.9016 0.5634 0.8839
Pt: 0.6795 0.0178 0.1158
Pt: 0.4334 0.3253 0.3422
Pt: 0.9832 0.0917 0.6576
Pt: 0.0984 0.4366 0.1161
Pt: 0.3205 0.9822 0.8842
Zr: 0.0000 0.0000 0.0000
Zr: 0.9103 0.6801 0.5904
Zr: 0.0897 0.3199 0.4096
Zr: 0.3002 0.9005 0.2015
Zr: 0.6998 0.0995 0.7985
Zr: 0.5857 0.7565 0.3423
Zr: 0.4143 0.2435 0.6577
Zr: 0.2507 0.5804 0.8306
Zr: 0.7493 0.4196 0.1694


(2)
Below is a geometry-optimized Zr5Pt structure, with properties calculated at the PBE level.

crystal system = hexagonal
energy relative to the lowest polymorph listed for this composition = 0.1409 eV per atom
D(E_F) = 9.9 states/eV per cell
calculated volume = 21.37 Å³/atom

Unit cell a=5.3372 b=5.3372 c=5.1981 alpha=90.00 beta=90.00 gamma=120.00
Element x y z (fractional)
Zr: 0.6828 0.0000 0.0000
Zr: 0.3172 0.3172 0.0000
Zr: 0.0000 0.6828 0.0000
Zr: 0.6667 0.3333 0.5000
Zr: 0.3333 0.6667 0.5000
Pt: 0.0000 0.0000 0.5000


(3)
Below is a geometry-optimized ZrPt2 structure, with properties calculated at the PBE level.

crystal system = hexagonal
electronic total energy = -7.697 eV per atom
D(E_F) = 6.0 states/eV per cell
calculated volume = 17.61 Å³/atom

Unit cell a=7.9083 b=7.9083 c=2.9264 alpha=90.00 beta=90.00 gamma=120.00
Element x y z (fractional)
Zr: 0.0000 0.0000 0.5000
Zr: 0.3333 0.6667 0.0000
Zr: 0.6667 0.3333 0.0000
Pt: 0.0000 0.3011 0.0000
Pt: 0.0000 0.6387 0.5000
Pt: 0.3011 0.0000 0.0000
Pt: 0.6989 0.6989 0.0000
Pt: 0.6387 0.0000 0.5000
Pt: 0.3613 0.3613 0.5000


(4)
Below is a geometry-optimized ZrPt8 structure, with properties calculated at the PBE level.

crystal system = tetragonal
electronic total energy = -6.633 eV per atom
D(E_F) = 7.5 states/eV per cell
calculated volume = 16.42 Å³/atom

Unit cell a=2.8220 b=7.3727 c=7.3727 alpha=87.90 beta=78.97 gamma=78.97
Element x y z (fractional)
Zr: 0.0000 0.0000 0.0000
Pt: 0.6654 0.0000 0.6693
Pt: 0.3346 0.0000 0.3307
Pt: 0.0000 0.3324 0.6676
Pt: 0.3346 0.3307 0.0000
Pt: 0.6676 0.3324 0.3324
Pt: 0.6654 0.6693 0.0000
Pt: 0.0000 0.6676 0.3324
Pt: 0.3324 0.6676 0.6676


(5)
Below is a geometry-optimized Zr5Pt structure, with properties calculated at the PBE level.

crystal system = cubic
energy relative to the lowest polymorph listed for this composition = 0.4908 eV per atom
D(E_F) = 9.3 states/eV per cell
calculated volume = 21.77 Å³/atom

Unit cell a=5.6949 b=5.6949 c=5.6949 alpha=60.00 beta=60.00 gamma=60.00
Element x y z (fractional)
Zr: 0.6245 0.6245 0.1264
Zr: 0.2500 0.2500 0.2500
Zr: 0.6245 0.6245 0.6245
Zr: 0.1264 0.6245 0.6245
Zr: 0.6245 0.1264 0.6245
Pt: 0.0000 0.0000 0.0000


(6)
Below is a geometry-optimized Zr3Pt4 structure, with properties calculated at the PBE level.

crystal system = tetragonal
energy relative to the lowest polymorph listed for this composition = 0.1401 eV per atom
D(E_F) = 5.6 states/eV per cell
calculated volume = 18.77 Å³/atom

Unit cell a=10.7847 b=10.7847 c=10.7847 alpha=161.11 beta=161.11 gamma=26.84
Element x y z (fractional)
Zr: 0.0000 0.0000 0.0000
Zr: 0.7001 0.7001 0.0000
Zr: 0.2999 0.2999 0.0000
Pt: 0.8547 0.8547 0.0000
Pt: 0.5664 0.5664 0.0000
Pt: 0.4336 0.4336 0.0000
Pt: 0.1453 0.1453 0.0000


(7)
Below is a geometry-optimized ZrPt4 structure, with properties calculated at the PBE level.

crystal system = orthorhombic
energy relative to the lowest polymorph listed for this composition = 0.0000 eV per atom
D(E_F) = 5.7 states/eV per cell
calculated volume = 16.72 Å³/atom

Unit cell a=4.1731 b=5.6657 c=7.8999 alpha=111.01 beta=105.31 gamma=90.00
Element x y z (fractional)
Zr: 0.8908 0.1408 0.7815
Zr: 0.1092 0.8592 0.2185
Pt: 0.0967 0.3467 0.1935
Pt: 0.9033 0.6533 0.8065
Pt: 0.5000 0.0000 0.0000
Pt: 0.5000 0.5000 0.0000
Pt: 0.6918 0.2007 0.3837
Pt: 0.3082 0.7993 0.6163
Pt: 0.3082 0.3170 0.6163
Pt: 0.6918 0.6830 0.3837


(8)
Below is a geometry-optimized Zr2Pt5 structure, with properties calculated at the PBE level.

crystal system = orthorhombic
electronic total energy = -7.695 eV per atom
D(E_F) = 6.5 states/eV per cell
calculated volume = 17.58 Å³/atom

Unit cell a=5.7108 b=6.9976 c=7.6370 alpha=117.27 beta=111.96 gamma=90.00
Element x y z (fractional)
Zr: 0.3947 0.7030 0.7893
Zr: 0.6053 0.2970 0.2107
Zr: 0.8947 0.0864 0.7893
Zr: 0.1053 0.9136 0.2107
Pt: 0.1180 0.3294 0.2360
Pt: 0.8820 0.6706 0.7640
Pt: 0.6180 0.9065 0.2360
Pt: 0.3820 0.0935 0.7640
Pt: 0.4777 0.7277 0.4554
Pt: 0.0223 0.2723 0.5446
Pt: 0.5223 0.2723 0.5446
Pt: 0.9777 0.7277 0.4554
Pt: 0.7500 0.5000 0.0000
Pt: 0.2500 0.5000 0.0000


(9)
Below is a geometry-optimized Zr5Pt structure, with properties calculated at the PBE level.

crystal system = orthorhombic
energy relative to the lowest polymorph listed for this composition = 0.0090 eV per atom
D(E_F) = 6.4 states/eV per cell
calculated volume = 21.41 Å³/atom

Unit cell a=3.6342 b=4.7785 c=7.7744 alpha=107.90 beta=90.00 gamma=90.00
Element x y z (fractional)
Zr: 0.0000 0.6762 0.3525
Zr: 0.0000 0.3238 0.6475
Zr: 0.5000 0.5000 0.0000
Zr: 0.5000 0.1503 0.3007
Zr: 0.5000 0.8497 0.6993
Pt: 0.0000 0.0000 0.0000


(10)
Below is a geometry-optimized Zr4Pt structure, with properties calculated at the PBE level.

crystal system = tetragonal
energy relative to the lowest polymorph listed for this composition = 0.7294 eV per atom
D(E_F) = 7.3 states/eV per cell
calculated volume = 22.99 Å³/atom

Unit cell a=8.4264 b=8.4264 c=8.4264 alpha=153.99 beta=153.99 gamma=37.12
Element x y z (fractional)
Zr: 0.2500 0.7500 0.5000
Zr: 0.5850 0.5850 0.0000
Zr: 0.4150 0.4150 0.0000
Zr: 0.7500 0.2500 0.5000
Pt: 0.0000 0.0000 0.0000


(11)
Below is a geometry-optimized Zr5Pt3 structure, with properties calculated at the PBE level.

crystal system = tetragonal
energy relative to the lowest polymorph listed for this composition = 0.0427 eV per atom
D(E_F) = 21.2 states/eV per cell
calculated volume = 20.46 Å³/atom

Unit cell a=6.8903 b=6.8903 c=8.4441 alpha=114.08 beta=114.08 gamma=90.00
Element x y z (fractional)
Zr: 0.0000 0.0000 0.0000
Zr: 0.5000 0.5000 0.0000
Zr: 0.5074 0.0074 0.6887
Zr: 0.1813 0.6813 0.6887
Zr: 0.6813 0.5074 0.6887
Zr: 0.0074 0.1813 0.6887
Zr: 0.4926 0.9926 0.3113
Zr: 0.8187 0.3187 0.3113
Zr: 0.3187 0.4926 0.3113
Zr: 0.9926 0.8187 0.3113
Pt: 0.7500 0.7500 0.5000
Pt: 0.2500 0.2500 0.5000
Pt: 0.1373 0.6373 0.0000
Pt: 0.8627 0.3627 0.0000
Pt: 0.3627 0.1373 0.0000
Pt: 0.6373 0.8627 0.0000


(12)
Below is a geometry-optimized ZrPt2 structure, with properties calculated at the PBE level.

crystal system = tetragonal
electronic total energy = -7.662 eV per atom
D(E_F) = 3.1 states/eV per cell
calculated volume = 19.30 Å³/atom

Unit cell a=5.3798 b=5.3798 c=5.3798 alpha=115.99 beta=115.99 gamma=97.09
Element x y z (fractional)
Zr: 0.2500 0.2500 0.0000
Zr: 0.7500 0.7500 0.0000
Pt: 0.6586 0.1586 0.8172
Pt: 0.1586 0.3414 0.5000
Pt: 0.8414 0.6586 0.5000
Pt: 0.3414 0.8414 0.1828


(13)
Below is a geometry-optimized Zr2Pt3 structure, with properties calculated at the PBE level.

crystal system = trigonal
energy relative to the lowest polymorph listed for this composition = 0.1559 eV per atom
D(E_F) = 3.2 states/eV per cell
calculated volume = 20.27 Å³/atom

Unit cell a=4.6011 b=4.6011 c=5.5280 alpha=90.00 beta=90.00 gamma=120.00
Element x y z (fractional)
Zr: 0.6667 0.3333 0.2975
Zr: 0.3333 0.6667 0.7025
Pt: 0.0000 0.0000 0.0000
Pt: 0.6667 0.3333 0.7811
Pt: 0.3333 0.6667 0.2189


(14)
Below is a geometry-optimized ZrPt4 structure, with properties calculated at the PBE level.

crystal system = tetragonal
energy relative to the lowest polymorph listed for this composition = 0.3396 eV per atom
D(E_F) = 4.6 states/eV per cell
calculated volume = 18.25 Å³/atom

Unit cell a=7.1181 b=7.1181 c=7.1181 alpha=149.76 beta=149.76 gamma=43.29
Element x y z (fractional)
Zr: 0.0000 0.0000 0.0000
Pt: 0.2500 0.7500 0.5000
Pt: 0.5975 0.5975 0.0000
Pt: 0.4025 0.4025 0.0000
Pt: 0.7500 0.2500 0.5000


(15)
Below is a geometry-optimized RbPu4 structure, with properties calculated at the PBE level.

crystal system = cubic
electronic total energy = -10.017 eV per atom
D(E_F) = 36.8 states/eV per cell
calculated volume = 33.83 Å³/atom

Unit cell a=5.5302 b=5.5302 c=5.5302 alpha=90.00 beta=90.00 gamma=90.00
Element x y z (fractional)
Rb: 0.5000 0.5000 0.5000
Pu: 0.0000 0.0000 0.0000
Pu: 0.5000 0.0000 0.5000
Pu: 0.0000 0.5000 0.5000
Pu: 0.5000 0.5000 0.0000


(16)
Below is a geometry-optimized Rb4Pu structure, with properties calculated at the PBE level.

crystal system = cubic
electronic total energy = -2.902 eV per atom
D(E_F) = 28.2 states/eV per cell
calculated volume = 104.42 Å³/atom

Unit cell a=8.0522 b=8.0522 c=8.0522 alpha=90.00 beta=90.00 gamma=90.00
Element x y z (fractional)
Rb: 0.0000 0.0000 0.0000
Rb: 0.5000 0.0000 0.5000
Rb: 0.0000 0.5000 0.5000
Rb: 0.5000 0.5000 0.0000
Pu: 0.5000 0.5000 0.5000


(17)
Below is a geometry-optimized RbPu2RhS4 structure, with properties calculated at the PBE level.

crystal system = orthorhombic
electronic total energy = -8.047 eV per atom
D(E_F) = 34.3 states/eV per cell
calculated volume = 23.66 Å³/atom

Unit cell a=3.9395 b=7.2261 c=13.8202 alpha=90.00 beta=90.00 gamma=105.82
Element x y z (fractional)
Rb: 0.1046 0.2092 0.7500
Rb: 0.8954 0.7908 0.2500
Pu: 0.3663 0.7326 0.5607
Pu: 0.6337 0.2674 0.0607
Pu: 0.6337 0.2674 0.4393
Pu: 0.3663 0.7326 0.9393
Rh: 0.8320 0.6640 0.7500
Rh: 0.1680 0.3360 0.2500
S: 0.2608 0.5217 0.1045
S: 0.7392 0.4783 0.6045
S: 0.7392 0.4783 0.8955
S: 0.2608 0.5217 0.3955
S: 0.0000 0.0000 0.5000
S: 0.0000 0.0000 0.0000
S: 0.4211 0.8423 0.7500
S: 0.5789 0.1577 0.2500


(18)
Below is a geometry-optimized Rb4Pu3RhS8 structure, with properties calculated at the PBE level.

crystal system = trigonal
electronic total energy = -6.732 eV per atom
D(E_F) = 24.9 states/eV per cell
calculated volume = 26.58 Å³/atom

Unit cell a=8.0245 b=8.9235 c=8.0244 alpha=116.72 beta=120.00 gamma=90.00
Element x y z (fractional)
Rb: 0.5000 0.0000 0.0000
Rb: 0.5000 0.0000 0.5000
Rb: 0.0000 0.0000 0.0000
Rb: 0.0000 0.0000 0.5000
Pu: 0.5000 0.5000 0.0000
Pu: 0.5000 0.5000 0.5000
Pu: 0.0000 0.5000 0.5000
Rh: 0.0000 0.5000 0.0000
S: 0.2160 0.6814 0.9654
S: 0.2161 0.6814 0.4321
S: 0.2687 0.3062 0.5375
S: 0.7494 0.6814 0.9654
S: 0.2506 0.3186 0.0346
S: 0.7313 0.6938 0.4625
S: 0.7839 0.3186 0.5679
S: 0.7840 0.3186 0.0346


(19)
Below is a geometry-optimized RbPuRhS3 structure, with properties calculated at the PBE level.

crystal system = monoclinic
electronic total energy = -7.002 eV per atom
D(E_F) = 17.4 states/eV per cell
calculated volume = 26.72 Å³/atom

Unit cell a=4.0102 b=8.9337 c=9.4471 alpha=108.70 beta=90.00 gamma=90.00
Element x y z (fractional)
Rb: 0.7500 0.7985 0.7614
Rb: 0.2500 0.2015 0.2386
Pu: 0.2500 0.6740 0.1522
Pu: 0.7500 0.3260 0.8478
Rh: 0.2500 0.0816 0.5921
Rh: 0.7500 0.9184 0.4079
S: 0.2500 0.8066 0.4534
S: 0.7500 0.8690 0.1415
S: 0.7500 0.4632 0.1508
S: 0.7500 0.1934 0.5466
S: 0.2500 0.5368 0.8492
S: 0.2500 0.1310 0.8585


(20)
Below is a geometry-optimized Rb3Pu3RhSe8 structure, with properties calculated at the PBE level.

crystal system = trigonal
electronic total energy = -6.599 eV per atom
D(E_F) = 29.6 states/eV per cell
calculated volume = 32.00 Å³/atom

Unit cell a=8.2421 b=8.2425 c=9.4468 alpha=115.89 beta=90.00 gamma=120.00
Element x y z (fractional)
Rb: 0.0000 0.0000 0.0000
Rb: 0.0000 0.5000 0.0000
Rb: 0.5000 0.5000 0.0000
Pu: 0.5000 0.0000 0.5000
Pu: 0.5000 0.5000 0.5000
Pu: 0.0000 0.5000 0.5000
Rh: 0.0000 0.0000 0.5000
Se: 0.2676 0.5352 0.3029
Se: 0.7324 0.4648 0.6971
Se: 0.7881 0.5761 0.3214
Se: 0.2119 0.4239 0.6786
Se: 0.7881 0.0332 0.3214
Se: 0.2119 0.9668 0.6786
Se: 0.2452 0.0332 0.3214
Se: 0.7548 0.9668 0.6786


(21)
Below is a geometry-optimized Rb3Pu2RhSe6 structure, with properties calculated at the PBE level.

crystal system = monoclinic
electronic total energy = -6.103 eV per atom
D(E_F) = 19.2 states/eV per cell
calculated volume = 29.40 Å³/atom

Unit cell a=7.1516 b=7.1516 c=8.3298 alpha=98.28 beta=98.28 gamma=120.13
Element x y z (fractional)
Rb: 0.1715 0.8285 0.5000
Rb: 0.8285 0.1715 0.5000
Rb: 0.5000 0.5000 0.5000
Pu: 0.3340 0.6660 0.0000
Pu: 0.6660 0.3340 0.0000
Rh: 0.0000 0.0000 0.0000
Se: 0.9380 0.6309 0.8140
Se: 0.7567 0.7567 0.1882
Se: 0.0620 0.3691 0.1860
Se: 0.6309 0.9380 0.8140
Se: 0.2433 0.2433 0.8118
Se: 0.3691 0.0620 0.1860


(22)
Below is a geometry-optimized RbPuRhSe3 structure, with properties calculated at the PBE level.

crystal system = monoclinic
electronic total energy = -6.564 eV per atom
D(E_F) = 21.1 states/eV per cell
calculated volume = 29.84 Å³/atom

Unit cell a=4.1504 b=9.2911 c=9.8388 alpha=109.32 beta=90.00 gamma=90.00
Element x y z (fractional)
Rb: 0.7500 0.7987 0.7605
Rb: 0.2500 0.2013 0.2395
Pu: 0.2500 0.6755 0.1517
Pu: 0.7500 0.3245 0.8483
Rh: 0.2500 0.0802 0.5903
Rh: 0.7500 0.9198 0.4097
Se: 0.2500 0.8015 0.4586
Se: 0.7500 0.8771 0.1413
Se: 0.7500 0.4615 0.1561
Se: 0.7500 0.1985 0.5414
Se: 0.2500 0.5385 0.8439
Se: 0.2500 0.1229 0.8587